VASP calculation (PBE) on a geometry-optimized SrOsIO6 structure.

Unit cell a=5.4558 b=5.4539 c=5.3041 alpha=89.98 beta=90.00 gamma=60.04
Positions (direct):
O1 0.9879 0.3764 0.2967
O2 0.6370 0.3757 0.7031
O3 0.9869 0.6368 0.7033
O4 0.3758 0.9874 0.7031
O5 0.6359 0.9877 0.2966
O6 0.3759 0.6360 0.2968
Os1 0.6668 0.6667 0.5001
I1 0.3333 0.3333 0.5000
Sr1 0.0001 0.0000 0.0002

Summary:
Formation energy (no corrections) = -112 kJ per mole of atoms
VASP energy = -6.077 eV per atom
Total moment = 1.0 μB per formula unit

---

VASP calculation (PBE) on a geometry-optimized AlAsPb structure.

Unit cell a=3.9536 b=3.9536 c=5.4646 alpha=90.00 beta=90.00 gamma=120.00
Positions (direct):
Al1 0.0000 0.0000 0.2642
As1 0.6667 0.3333 0.0705
Pb1 0.3333 0.6667 0.6653

Summary:
Energy relative to the lowest polymorph listed for this composition = 0.005 eV per atom
Calculated formation energy = -0.0598 eV/atom
VASP energy = -4.093 eV per atom
Total moment = 0.0 μB per formula unit

---

VASP calculation (PBE) on a geometry-optimized ScTa2Ag structure.

Unit cell a=5.3023 b=5.7550 c=2.8760 alpha=80.17 beta=80.10 gamma=114.69
Positions (direct):
Ta1 0.5000 0.0000 0.5000
Ta2 0.0000 0.0000 0.0000
Ag1 0.0000 0.5000 0.5000
Sc1 0.5000 0.5000 0.0000

Summary:
Energy relative to the lowest polymorph listed for this composition = 0.137 eV per atom
Calculated formation energy = 0.2366 eV/atom
VASP energy = -7.985 eV per atom
Total moment = 0.0 μB per formula unit

---

VASP calculation (PBE) on a geometry-optimized TaPdF3 structure.

Unit cell a=4.2972 b=4.2972 c=4.2972 alpha=90.00 beta=90.00 gamma=90.00
Positions (direct):
Ta1 0.5000 0.5000 0.5000
Pd1 0.0000 0.0000 0.0000
F1 0.5000 0.0000 0.0000
F2 0.0000 0.5000 0.0000
F3 0.0000 0.0000 0.5000

Summary:
Formation energy (no corrections) = -7 kJ per mole of atoms
VASP energy = -4.604 eV per atom
Total moment = 3.2 μB per formula unit

---

VASP calculation (PBE) on a geometry-optimized Nd8Si3IrBr4 structure.

Unit cell a=8.5487 b=8.8614 c=8.5495 alpha=118.86 beta=120.00 gamma=90.00
Positions (direct):
Nd1 0.2315 0.7062 0.4630
Nd2 0.7440 0.7059 0.9751
Nd3 0.2311 0.7059 0.9751
Nd4 0.7689 0.2941 0.0249
Nd5 0.7685 0.2938 0.5370
Nd6 0.2560 0.2941 0.0249
Nd7 0.7378 0.7133 0.4756
Nd8 0.2622 0.2867 0.5244
Si1 0.0000 0.5000 0.5000
Si2 0.5000 0.5000 0.5000
Si3 0.5000 0.5000 0.0000
Br1 0.0000 0.0000 0.5000
Br2 0.5000 0.0000 0.5000
Br3 0.5000 0.0000 0.0000
Br4 0.0000 0.0000 0.0000
Ir1 0.0000 0.5000 0.0000

Summary:
Formation energy (no corrections) = -101 kJ per mole of atoms
VASP energy = -5.420 eV per atom
Total moment = 0.0 μB per formula unit

---

VASP calculation (PBE) on a geometry-optimized PC5 structure.

Unit cell a=3.2553 b=3.2553 c=7.5108 alpha=90.00 beta=90.00 gamma=120.00
Positions (direct):
C1 0.5000 0.5000 0.0000
C2 0.0000 0.5000 0.0000
C3 0.6667 0.3333 0.5000
C4 0.5000 0.0000 0.0000
C5 0.3333 0.6667 0.5000
P1 0.0000 0.0000 0.5000

Summary:
Energy relative to the lowest polymorph listed for this composition = 2.105 eV per atom
Calculated formation energy = 2.8666 eV/atom
VASP energy = -5.722 eV per atom
Total moment = 0.0 μB per formula unit

---

VASP calculation (PBE) on a geometry-optimized CaFeTe2 structure.

Unit cell a=7.6055 b=7.6055 c=6.4800 alpha=54.07 beta=54.07 gamma=90.00
Positions (direct):
Te1 0.3750 0.2904 0.7500
Te2 0.0404 0.6250 0.2500
Te3 0.8750 0.9596 0.7500
Te4 0.7096 0.1250 0.2500
Fe1 0.7500 0.2500 0.5000
Fe2 0.0000 0.0000 0.0000
Ca1 0.5000 0.5000 0.0000
Ca2 0.2500 0.7500 0.5000

Summary:
Formation energy (no corrections) = -42 kJ per mole of atoms
VASP energy = -4.623 eV per atom
Total moment = 0.0 μB per formula unit

---

VASP calculation (PBE) on a geometry-optimized GeP3Pd structure.

Unit cell a=4.7026 b=4.7026 c=4.7026 alpha=90.00 beta=90.00 gamma=90.00
Positions (direct):
P1 0.0000 0.0000 0.5000
P2 0.0000 0.5000 0.0000
P3 0.5000 0.0000 0.0000
Ge1 0.5000 0.5000 0.5000
Pd1 0.0000 0.0000 0.0000

Summary:
Energy relative to the lowest polymorph listed for this composition = 0.000 eV per atom
Calculated formation energy = 0.8767 eV/atom
VASP energy = -4.331 eV per atom
Total moment = 0.0 μB per formula unit

---

VASP calculation (PBE) on a geometry-optimized RbNaSe structure.

Unit cell a=4.1872 b=4.1872 c=6.3711 alpha=109.18 beta=109.18 gamma=90.00
Positions (direct):
Rb1 0.6014 0.6014 0.2028
Na1 0.3415 0.3415 0.6831
Se1 0.9071 0.9071 0.8142

Summary:
Formation energy (no corrections) = -81 kJ per mole of atoms
VASP energy = -2.764 eV per atom
Total moment = 0.0 μB per formula unit

---

VASP calculation (PBE) on a geometry-optimized Al3CoCu structure.

Unit cell a=4.4195 b=4.4195 c=4.4195 alpha=90.00 beta=90.00 gamma=90.00
Positions (direct):
Co1 0.0000 0.0000 0.0000
Al1 0.0000 0.5000 0.0000
Al2 0.5000 0.0000 0.0000
Al3 0.0000 0.0000 0.5000
Cu1 0.5000 0.5000 0.5000

Summary:
Energy relative to the lowest polymorph listed for this composition = 0.000 eV per atom
Calculated formation energy = 0.0921 eV/atom
VASP energy = -4.394 eV per atom
Total moment = 0.0 μB per formula unit

---

VASP calculation (PBE) on a geometry-optimized Ca3ScO structure.

Unit cell a=5.0387 b=5.0387 c=5.0387 alpha=90.00 beta=90.00 gamma=90.00
Positions (direct):
Ca1 0.0000 0.5000 0.0000
Ca2 0.5000 0.0000 0.0000
Ca3 0.0000 0.0000 0.5000
O1 0.0000 0.0000 0.0000
Sc1 0.5000 0.5000 0.5000

Summary:
Energy relative to the lowest polymorph listed for this composition = 0.000 eV per atom
Formation energy (no corrections) = -84 kJ per mole of atoms
VASP energy = -4.327 eV per atom
Total moment = 0.4 μB per formula unit

---

VASP calculation (PBE) on a geometry-optimized BH2W structure.

Unit cell a=3.3701 b=3.3701 c=3.3701 alpha=60.00 beta=60.00 gamma=60.00
Positions (direct):
H1 0.7500 0.7500 0.7500
H2 0.2500 0.2500 0.2500
B1 0.0000 0.0000 0.0000
W1 0.5000 0.5000 0.5000

Summary:
Energy relative to the lowest polymorph listed for this composition = 0.381 eV per atom
VASP energy = -5.693 eV per atom
Total moment = 0.0 μB per formula unit

---

VASP calculation (PBE) on a geometry-optimized KCdSnBi2 structure.

Unit cell a=5.0776 b=5.0776 c=7.9782 alpha=108.55 beta=108.55 gamma=90.00
Positions (direct):
Bi1 0.3750 0.3750 0.7500
Bi2 0.6250 0.6250 0.2500
Cd1 0.2500 0.7500 0.5000
K1 0.0000 0.0000 0.0000
Sn1 0.7500 0.2500 0.5000

Summary:
Calculated formation energy = -0.1564 eV/atom
VASP energy = -2.912 eV per atom
Total moment = 0.0 μB per formula unit

---

VASP calculation (PBE) on a geometry-optimized LaNiP structure.

Unit cell a=7.5371 b=8.4938 c=5.5870 alpha=43.50 beta=90.00 gamma=90.00
Positions (direct):
P1 0.0220 0.3822 0.2939
P2 0.4780 0.8822 0.2939
P3 0.5220 0.1178 0.7061
P4 0.9780 0.6178 0.7061
Ni1 0.1970 0.8580 0.4084
Ni2 0.6970 0.6420 0.5916
Ni3 0.3030 0.3580 0.4084
Ni4 0.8030 0.1420 0.5916
La1 0.3455 0.3601 0.9113
La2 0.6545 0.6399 0.0887
La3 0.1545 0.8601 0.9113
La4 0.8455 0.1399 0.0887

Summary:
Calculated formation energy = -0.8196 eV/atom
VASP energy = -6.192 eV per atom
Total moment = 0.0 μB per formula unit

---

VASP calculation (PBE) on a geometry-optimized AcPrZnCu structure.

Unit cell a=3.7767 b=3.7767 c=7.4865 alpha=90.00 beta=90.00 gamma=90.00
Positions (direct):
Zn1 0.5000 0.5000 0.1277
Pr1 0.0000 0.0000 0.3636
Cu1 0.5000 0.5000 0.5854
Ac1 0.0000 0.0000 0.8513

Summary:
Energy relative to the lowest polymorph listed for this composition = 0.000 eV per atom
Calculated formation energy = -0.1814 eV/atom
VASP energy = -3.746 eV per atom
Total moment = 0.0 μB per formula unit

---

VASP calculation (PBE) on a geometry-optimized AcNd3Dy3 structure.

Unit cell a=13.1557 b=6.9113 c=13.1571 alpha=100.09 beta=117.00 gamma=100.08
Positions (direct):
Nd1 0.5262 0.5540 0.2631
Nd2 0.2631 0.5542 0.5262
Nd3 0.2753 0.7229 0.2753
Nd4 0.5373 0.7595 0.9999
Nd5 0.7369 0.0278 0.4738
Nd6 0.7369 0.2911 0.2631
Nd7 0.7247 0.4475 0.9999
Nd8 0.2631 0.2910 0.7369
Nd9 0.0000 0.4472 0.7248
Nd10 0.4628 0.2222 0.4626
Nd11 0.4738 0.0278 0.7369
Nd12 0.0000 0.7594 0.5374
Dy1 0.8157 0.8128 0.2566
Dy2 0.0000 0.2423 0.4708
Dy3 0.4708 0.2424 0.0000
Dy4 0.2658 0.4812 0.0000
Dy5 0.2566 0.8127 0.8157
Dy6 0.5591 0.5561 0.7433
Dy7 0.4409 0.9970 0.1843
Dy8 0.7434 0.5561 0.5591
Dy9 0.5292 0.7716 0.5292
Dy10 0.7342 0.2154 0.7342
Dy11 0.0000 0.4813 0.2659
Dy12 0.1844 0.9972 0.4409
Ac1 0.0000 0.9856 0.8152
Ac2 0.8150 0.9860 0.0000
Ac3 0.1850 0.1710 0.1850
Ac4 0.0000 0.5865 0.0002

Summary:
Energy relative to the lowest polymorph listed for this composition = 0.084 eV per atom
Calculated formation energy = 0.1237 eV/atom
VASP energy = -4.479 eV per atom
Total moment = 0.0 μB per formula unit

---

VASP calculation (PBE) on a geometry-optimized La3Pm6PrSm2 structure.

Unit cell a=6.3787 b=6.3787 c=12.1813 alpha=95.05 beta=95.05 gamma=120.05
Positions (direct):
Pm1 0.0824 0.4163 0.2474
Pm2 0.9176 0.5837 0.7526
Pm3 0.2514 0.2514 0.7525
Pm4 0.7486 0.7486 0.2475
Pm5 0.5837 0.9176 0.7526
Pm6 0.4163 0.0824 0.2474
La1 0.8330 0.1670 0.5000
La2 0.5000 0.5000 0.5000
La3 0.1670 0.8330 0.5000
Sm1 0.6667 0.3333 0.0000
Sm2 0.3333 0.6667 0.0000
Pr1 0.0000 0.0000 0.0000

Summary:
Calculated formation energy = 0.0152 eV/atom
VASP energy = -4.777 eV per atom
Total moment = 0.0 μB per formula unit

---

VASP calculation (PBE) on a geometry-optimized AcTlNi structure.

Unit cell a=3.5869 b=3.5869 c=6.4633 alpha=106.11 beta=106.11 gamma=90.00
Positions (direct):
Tl1 0.9815 0.9815 0.9631
Ni1 0.6068 0.6068 0.2137
Ac1 0.2616 0.2616 0.5232

Summary:
Energy relative to the lowest polymorph listed for this composition = 0.266 eV per atom
Calculated formation energy = -0.0225 eV/atom
VASP energy = -4.108 eV per atom
Total moment = 0.0 μB per formula unit

---

VASP calculation (PBE) on a geometry-optimized Tb4DyHo structure.

Unit cell a=6.5443 b=6.5443 c=6.5443 alpha=60.00 beta=60.00 gamma=60.00
Positions (direct):
Tb1 0.6250 0.6250 0.6250
Tb2 0.6250 0.1250 0.6250
Tb3 0.1250 0.6250 0.6250
Tb4 0.6250 0.6250 0.1250
Ho1 0.0000 0.0000 0.0000
Dy1 0.2500 0.2500 0.2500

Summary:
Energy relative to the lowest polymorph listed for this composition = 0.248 eV per atom
Calculated formation energy = 0.2643 eV/atom
VASP energy = -4.353 eV per atom
Total moment = 0.0 μB per formula unit

---

VASP calculation (PBE) on a geometry-optimized Sc2Si4Pt3Rh structure.

Unit cell a=3.9535 b=3.9535 c=10.4095 alpha=90.00 beta=90.00 gamma=90.00
Positions (direct):
Pt1 0.5000 0.0000 0.8628
Pt2 0.0000 0.0000 0.5000
Pt3 0.0000 0.5000 0.1372
Si1 0.0000 0.5000 0.3632
Si2 0.5000 0.5000 0.0000
Si3 0.5000 0.0000 0.6368
Si4 0.0000 0.0000 0.0000
Sc1 0.5000 0.0000 0.2639
Sc2 0.0000 0.5000 0.7361
Rh1 0.5000 0.5000 0.5000

Summary:
Formation energy (no corrections) = -97 kJ per mole of atoms
VASP energy = -6.984 eV per atom
Total moment = 0.0 μB per formula unit

---

VASP calculation (PBE) on a geometry-optimized BC2 structure.

Unit cell a=5.9432 b=5.9432 c=5.3038 alpha=106.01 beta=106.01 gamma=24.97
Positions (direct):
C1 0.2441 0.2441 0.8864
C2 0.5856 0.5856 0.5366
C3 0.0059 0.0059 0.4886
C4 0.3356 0.3356 0.1682
C5 0.6644 0.6644 0.8384
C6 0.9144 0.9144 0.2068
C7 0.6631 0.6631 0.3341
C8 0.5869 0.5869 0.0409
B1 0.9179 0.9179 0.6605
B2 0.3321 0.3321 0.7145
B3 0.2506 0.2506 0.3606
B4 0.9994 0.9994 0.0144

Summary:
Energy relative to the lowest polymorph listed for this composition = 0.128 eV per atom
Calculated formation energy = 0.3680 eV/atom
VASP energy = -8.007 eV per atom
Total moment = 0.0 μB per formula unit

---

VASP calculation (PBE) on a geometry-optimized Zr2HgB structure.

Unit cell a=4.6989 b=4.6989 c=4.6989 alpha=60.00 beta=60.00 gamma=60.00
Positions (direct):
Zr1 0.2500 0.2500 0.2500
Zr2 0.7500 0.7500 0.7500
B1 0.0000 0.0000 0.0000
Hg1 0.5000 0.5000 0.5000

Summary:
Energy relative to the lowest polymorph listed for this composition = 0.191 eV per atom
Calculated formation energy = 0.2831 eV/atom
VASP energy = -5.736 eV per atom
Total moment = 0.0 μB per formula unit

---

VASP calculation (PBE) on a geometry-optimized TlBi2P2 structure.

Unit cell a=8.1046 b=8.1046 c=3.8363 alpha=90.00 beta=90.00 gamma=90.00
Positions (direct):
P1 0.3502 0.8502 0.0000
P2 0.6498 0.1498 0.0000
P3 0.8502 0.6498 0.0000
P4 0.1498 0.3502 0.0000
Tl1 0.5000 0.5000 0.0000
Tl2 0.0000 0.0000 0.0000
Bi1 0.1489 0.6489 0.5000
Bi2 0.6489 0.8511 0.5000
Bi3 0.8511 0.3511 0.5000
Bi4 0.3511 0.1489 0.5000

Summary:
Energy relative to the lowest polymorph listed for this composition = 0.083 eV per atom
Calculated formation energy = 0.2777 eV/atom
VASP energy = -3.912 eV per atom
Total moment = 0.0 μB per formula unit

---

VASP calculation (PBE) on a geometry-optimized NaSb2IrI structure.

Unit cell a=5.1233 b=5.1233 c=6.2046 alpha=90.00 beta=90.00 gamma=90.00
Positions (direct):
Ir1 0.0000 0.0000 0.0000
I1 0.0000 0.0000 0.5000
Sb1 0.0000 0.5000 0.0000
Sb2 0.5000 0.0000 0.0000
Na1 0.5000 0.5000 0.5000

Summary:
Energy relative to the lowest polymorph listed for this composition = 0.000 eV per atom
Formation energy (no corrections) = 12 kJ per mole of atoms
VASP energy = -3.873 eV per atom
Total moment = 0.0 μB per formula unit

---

VASP calculation (PBE) on a geometry-optimized Li5Tl2Cd structure.

Unit cell a=5.8764 b=5.8765 c=5.8764 alpha=112.66 beta=112.66 gamma=103.28
Positions (direct):
Cd1 0.7783 0.7783 0.0000
Li1 0.7778 0.2781 0.0000
Li2 0.2775 0.2775 0.0000
Li3 0.2780 0.2780 0.5003
Li4 0.2780 0.7777 0.0000
Li5 0.7777 0.7777 0.4997
Tl1 0.7779 0.2778 0.5000
Tl2 0.2779 0.7779 0.5000

Summary:
Energy relative to the lowest polymorph listed for this composition = 0.000 eV per atom
Calculated formation energy = -0.2209 eV/atom
VASP energy = -2.123 eV per atom
Total moment = 0.0 μB per formula unit